Record 1
First-principles (PBE-GGA) data for Np2Pb5O12 after structural relaxation, as listed in Alexandria via LeMat-Bulk. Values from VASP.

The structure in Quantum ESPRESSO input format:
```
&SYSTEM
  ibrav = 0, nat = 19, ntyp = 3
/
ATOMIC_SPECIES
Np 237.00 Np.upf
Pb 207.20 Pb.upf
O 16.00 O.upf
CELL_PARAMETERS angstrom
-0.451 -4.462 -6.457
6.330 -0.547 -4.631
3.502 -6.044 -0.044
ATOMIC_POSITIONS crystal
Np 0.226 0.774 0.000
Np 0.774 0.226 0.000
Pb 0.700 0.700 0.991
Pb 0.685 0.685 0.495
Pb 0.000 0.000 0.500
Pb 0.315 0.315 0.505
Pb 0.300 0.300 0.009
O 0.093 0.093 0.797
O 0.868 0.496 0.749
O 0.496 0.868 0.749
O 0.862 0.271 0.186
O 0.271 0.862 0.186
O 0.506 0.506 0.169
O 0.494 0.494 0.831
O 0.138 0.729 0.814
O 0.729 0.138 0.814
O 0.132 0.504 0.251
O 0.504 0.132 0.251
O 0.907 0.907 0.203
```

Calculated values
Final energy in eV/atom: -7.124
Uncorrected formation energy in eV per atom: -1.655
Space-group type: No. 12

---

Record 2
First-principles (PBE-GGA) data for NpPbO3 after structural relaxation, as listed in Alexandria via LeMat-Bulk. Values from VASP.

The structure in Quantum ESPRESSO input format:
```
&SYSTEM
  ibrav = 0, nat = 5, ntyp = 3
/
ATOMIC_SPECIES
Np 237.00 Np.upf
Pb 207.20 Pb.upf
O 16.00 O.upf
CELL_PARAMETERS angstrom
4.358 0.000 0.000
0.000 4.358 0.000
0.000 0.000 4.358
ATOMIC_POSITIONS crystal
Np 0.000 0.000 0.000
Pb 0.500 0.500 0.500
O 0.000 0.500 0.000
O 0.000 0.000 0.500
O 0.500 0.000 0.000
```

Calculated values
Final energy in eV/atom: -8.450
Uncorrected formation energy in eV per atom: -2.145
Space-group type: No. 221

---

Record 3
First-principles (PBE-GGA) data for Np2Pb3O9 after structural relaxation, as listed in Alexandria via LeMat-Bulk. Values from VASP.

The structure in Quantum ESPRESSO input format:
```
&SYSTEM
  ibrav = 0, nat = 28, ntyp = 3
/
ATOMIC_SPECIES
Np 237.00 Np.upf
Pb 207.20 Pb.upf
O 16.00 O.upf
CELL_PARAMETERS angstrom
-0.415 -2.498 7.194
2.228 -7.062 -1.827
7.352 1.446 1.422
ATOMIC_POSITIONS crystal
Np 0.138 0.138 0.138
Np 0.638 0.638 0.638
Np 0.862 0.862 0.862
Np 0.362 0.362 0.362
Pb 0.442 0.750 0.058
Pb 0.250 0.942 0.558
Pb 0.942 0.558 0.250
Pb 0.058 0.442 0.750
Pb 0.750 0.058 0.442
Pb 0.558 0.250 0.942
O 0.727 0.939 0.080
O 0.061 0.920 0.273
O 0.250 0.397 0.103
O 0.561 0.773 0.420
O 0.603 0.897 0.750
O 0.897 0.750 0.603
O 0.227 0.580 0.439
O 0.580 0.439 0.227
O 0.920 0.273 0.061
O 0.080 0.727 0.939
O 0.420 0.561 0.773
O 0.397 0.103 0.250
O 0.773 0.420 0.561
O 0.103 0.250 0.397
O 0.439 0.227 0.580
O 0.750 0.603 0.897
O 0.939 0.080 0.727
O 0.273 0.061 0.920
```

Calculated values
Final energy in eV/atom: -7.691
Uncorrected formation energy in eV per atom: -1.860
Space-group type: No. 167

---

Record 4
First-principles (PBE-GGA) data for Np2PbO8 after structural relaxation, as listed in Alexandria via LeMat-Bulk. Values from VASP.

The structure in Quantum ESPRESSO input format:
```
&SYSTEM
  ibrav = 0, nat = 11, ntyp = 3
/
ATOMIC_SPECIES
Np 237.00 Np.upf
Pb 207.20 Pb.upf
O 16.00 O.upf
CELL_PARAMETERS angstrom
5.641 -0.229 1.222
0.759 5.314 2.427
-0.222 -0.521 5.864
ATOMIC_POSITIONS crystal
Np 0.461 0.293 0.293
Np 0.539 0.707 0.707
Pb 0.000 0.000 0.000
O 0.342 0.654 0.064
O 0.658 0.936 0.346
O 0.214 0.200 0.200
O 0.786 0.800 0.800
O 0.342 0.064 0.654
O 0.658 0.346 0.936
O 0.697 0.393 0.393
O 0.303 0.607 0.607
```

Calculated values
Final energy in eV/atom: -8.516
Uncorrected formation energy in eV per atom: -2.220
Space-group type: No. 12

---

Record 5
First-principles (PBE-GGA) data for NpPbO4 after structural relaxation, as listed in Alexandria via LeMat-Bulk. Values from VASP.

The structure in Quantum ESPRESSO input format:
```
&SYSTEM
  ibrav = 0, nat = 12, ntyp = 3
/
ATOMIC_SPECIES
Np 237.00 Np.upf
Pb 207.20 Pb.upf
O 16.00 O.upf
CELL_PARAMETERS angstrom
-3.375 4.548 2.266
-4.054 -3.548 -1.567
3.867 -2.926 4.748
ATOMIC_POSITIONS crystal
Np 0.095 0.845 0.690
Np 0.905 0.155 0.310
Pb 0.359 0.609 0.219
Pb 0.641 0.391 0.781
O 0.944 0.254 0.069
O 0.624 0.814 0.069
O 0.222 0.482 0.555
O 0.778 0.518 0.445
O 0.167 0.927 0.445
O 0.376 0.186 0.931
O 0.833 0.073 0.555
O 0.056 0.746 0.931
```

Calculated values
Final energy in eV/atom: -8.301
Uncorrected formation energy in eV per atom: -2.220
Space-group type: No. 15

---

Record 6
First-principles (PBE-GGA) data for Np6Pb4O19 after structural relaxation, as listed in Alexandria via LeMat-Bulk. Values from VASP.

The structure in Quantum ESPRESSO input format:
```
&SYSTEM
  ibrav = 0, nat = 29, ntyp = 3
/
ATOMIC_SPECIES
Np 237.00 Np.upf
Pb 207.20 Pb.upf
O 16.00 O.upf
CELL_PARAMETERS angstrom
-4.765 7.061 -1.704
-3.329 -6.826 -4.217
-0.081 -1.555 8.546
ATOMIC_POSITIONS crystal
Np 0.329 0.500 0.829
Np 0.671 0.500 0.171
Np 0.171 0.671 0.500
Np 0.829 0.329 0.500
Np 0.500 0.829 0.329
Np 0.500 0.171 0.671
Pb 0.000 0.000 0.716
Pb 0.000 0.716 0.000
Pb 0.284 0.284 0.284
Pb 0.716 0.000 0.000
O 0.631 0.000 0.631
O 0.369 0.000 0.369
O 0.369 0.369 0.000
O 0.631 0.631 0.000
O 0.000 0.631 0.631
O 0.000 0.369 0.369
O 0.000 0.000 0.000
O 0.339 0.311 0.612
O 0.661 0.273 0.972
O 0.699 0.727 0.388
O 0.972 0.661 0.273
O 0.301 0.689 0.028
O 0.612 0.339 0.311
O 0.028 0.301 0.689
O 0.388 0.699 0.727
O 0.689 0.028 0.301
O 0.273 0.972 0.661
O 0.311 0.612 0.339
O 0.727 0.388 0.699
```

Calculated values
Final energy in eV/atom: -8.816
Uncorrected formation energy in eV per atom: -2.379
Space-group type: No. 197

---

Record 7
First-principles (PBE-GGA) data for NpPbO4 after structural relaxation, as listed in Alexandria via LeMat-Bulk. Values from VASP.

The structure in Quantum ESPRESSO input format:
```
&SYSTEM
  ibrav = 0, nat = 12, ntyp = 3
/
ATOMIC_SPECIES
Np 237.00 Np.upf
Pb 207.20 Pb.upf
O 16.00 O.upf
CELL_PARAMETERS angstrom
-1.162 -4.126 3.742
-3.376 -2.534 -3.843
4.580 -2.673 -2.261
ATOMIC_POSITIONS crystal
Np 0.500 0.000 0.500
Np 0.000 0.500 0.500
Pb 0.000 0.000 0.000
Pb 0.500 0.500 0.000
O 0.904 0.634 0.200
O 0.596 0.134 0.800
O 0.278 0.315 0.365
O 0.222 0.815 0.635
O 0.096 0.366 0.800
O 0.404 0.866 0.200
O 0.722 0.685 0.635
O 0.778 0.185 0.365
```

Calculated values
Final energy in eV/atom: -8.330
Uncorrected formation energy in eV per atom: -2.249
Space-group type: No. 14

---

Record 8
First-principles (PBE-GGA) data for NpPb2O7 after structural relaxation, as listed in Alexandria via LeMat-Bulk. Values from VASP.

The structure in Quantum ESPRESSO input format:
```
&SYSTEM
  ibrav = 0, nat = 20, ntyp = 3
/
ATOMIC_SPECIES
Np 237.00 Np.upf
Pb 207.20 Pb.upf
O 16.00 O.upf
CELL_PARAMETERS angstrom
1.613 5.234 -2.422
-2.144 5.928 3.979
5.696 4.583 6.295
ATOMIC_POSITIONS crystal
Np 0.087 0.250 0.750
Np 0.913 0.750 0.250
Pb 0.747 0.889 0.601
Pb 0.763 0.389 0.101
Pb 0.237 0.611 0.899
Pb 0.253 0.111 0.399
O 0.625 0.612 0.840
O 0.924 0.112 0.340
O 0.200 0.943 0.907
O 0.395 0.159 0.570
O 0.776 0.250 0.750
O 0.950 0.443 0.407
O 0.124 0.341 0.930
O 0.876 0.659 0.070
O 0.050 0.557 0.593
O 0.224 0.750 0.250
O 0.605 0.841 0.430
O 0.800 0.057 0.093
O 0.076 0.888 0.660
O 0.375 0.388 0.160
```

Calculated values
Final energy in eV/atom: -6.918
Uncorrected formation energy in eV per atom: -1.412
Space-group type: No. 15

---

Record 9
First-principles (PBE-GGA) data for Np2PbO6 after structural relaxation, as listed in Alexandria via LeMat-Bulk. Values from VASP.

The structure in Quantum ESPRESSO input format:
```
&SYSTEM
  ibrav = 0, nat = 9, ntyp = 3
/
ATOMIC_SPECIES
Np 237.00 Np.upf
Pb 207.20 Pb.upf
O 16.00 O.upf
CELL_PARAMETERS angstrom
-4.143 2.176 -1.927
-1.583 -5.155 -2.417
-1.808 1.386 5.453
ATOMIC_POSITIONS crystal
Np 0.500 0.667 0.333
Np 0.500 0.333 0.667
Pb 0.000 0.000 0.000
O 0.710 0.632 0.632
O 0.290 0.632 0.000
O 0.290 0.000 0.632
O 0.710 0.368 0.000
O 0.290 0.368 0.368
O 0.710 0.000 0.368
```

Calculated values
Final energy in eV/atom: -9.090
Uncorrected formation energy in eV per atom: -2.496
Space-group type: No. 162

---

Record 10
First-principles (PBE-GGA) data for NpPbO after structural relaxation, as listed in Alexandria via LeMat-Bulk. Values from VASP.

The structure in Quantum ESPRESSO input format:
```
&SYSTEM
  ibrav = 0, nat = 6, ntyp = 3
/
ATOMIC_SPECIES
Np 237.00 Np.upf
Pb 207.20 Pb.upf
O 16.00 O.upf
CELL_PARAMETERS angstrom
3.852 0.000 0.000
0.000 3.852 0.000
-1.926 -1.926 8.658
ATOMIC_POSITIONS crystal
Np 0.079 0.079 0.158
Np 0.921 0.921 0.842
Pb 0.299 0.299 0.597
Pb 0.701 0.701 0.403
O 0.500 0.000 0.000
O 0.000 0.500 0.000
```

Calculated values
Final energy in eV/atom: -8.380
Uncorrected formation energy in eV per atom: -1.178
Space-group type: No. 139

---

Record 11
First-principles (PBE-GGA) data for NpPbO5 after structural relaxation, as listed in Alexandria via LeMat-Bulk. Values from VASP.

The structure in Quantum ESPRESSO input format:
```
&SYSTEM
  ibrav = 0, nat = 7, ntyp = 3
/
ATOMIC_SPECIES
Np 237.00 Np.upf
Pb 207.20 Pb.upf
O 16.00 O.upf
CELL_PARAMETERS angstrom
-1.193 -3.530 1.737
1.413 -4.552 -3.414
4.571 -2.733 2.450
ATOMIC_POSITIONS crystal
Np 0.504 0.500 0.500
Pb 0.004 0.000 0.000
O 0.728 0.277 0.277
O 0.004 0.500 0.500
O 0.282 0.723 0.723
O 0.504 0.200 0.800
O 0.504 0.800 0.200
```

Calculated values
Final energy in eV/atom: -7.787
Uncorrected formation energy in eV per atom: -1.867
Space-group type: No. 71

---

Record 12
First-principles (PBE-GGA) data for Np2PbO11 after structural relaxation, as listed in Alexandria via LeMat-Bulk. Values from VASP.

The structure in Quantum ESPRESSO input format:
```
&SYSTEM
  ibrav = 0, nat = 28, ntyp = 3
/
ATOMIC_SPECIES
Np 237.00 Np.upf
Pb 207.20 Pb.upf
O 16.00 O.upf
CELL_PARAMETERS angstrom
-4.200 5.114 5.363
4.200 -5.114 5.363
4.200 5.114 -5.363
ATOMIC_POSITIONS crystal
Np 0.738 0.716 0.454
Np 0.262 0.284 0.546
Np 0.238 0.784 0.023
Np 0.762 0.216 0.977
Pb 0.750 0.250 0.500
Pb 0.250 0.750 0.500
O 0.749 0.918 0.421
O 0.251 0.082 0.579
O 0.498 0.328 0.579
O 0.002 0.582 0.830
O 0.502 0.672 0.421
O 0.998 0.418 0.170
O 0.751 0.172 0.170
O 0.249 0.828 0.830
O 0.500 0.500 0.000
O 0.000 0.000 0.000
O 0.843 0.959 0.802
O 0.157 0.041 0.198
O 0.343 0.541 0.885
O 0.657 0.459 0.115
O 0.978 0.758 0.488
O 0.022 0.242 0.512
O 0.270 0.490 0.512
O 0.230 0.742 0.220
O 0.730 0.510 0.488
O 0.770 0.258 0.780
O 0.522 0.010 0.780
O 0.478 0.990 0.220
```

Calculated values
Final energy in eV/atom: -7.442
Uncorrected formation energy in eV per atom: -1.433
Space-group type: No. 72

---

Number 1: magnetization 0.00 μB/atom. Number 2: magnetization 0.58 μB/atom. Number 3: magnetization 0.14 μB/atom. Number 4: magnetization 0.00 μB/atom. Number 5: magnetization 0.17 μB/atom. Number 6: magnetization 0.41 μB/atom. Number 7: magnetization 0.17 μB/atom. Number 8: magnetization 0.02 μB/atom. Number 9: magnetization 0.44 μB/atom. Number 10: magnetization 1.41 μB/atom. Number 11: magnetization 0.00 μB/atom. Number 12: magnetization 0.15 μB/atom.